1.
# BeGaOs2Au

BeGaOs2Au after structural relaxation (PBE, Alexandria via LeMat-Bulk).

E_form ... 0.737 eV per atom
Fermi-level density of states ... 3.3 states/eV/f.u.
Electronic total energy ... -5.76 eV/atom
Spin magnetization ... 0.000 μB per cell

```
data_BeGaOs2Au
_cell_length_a 4.1881
_cell_length_b 4.1881
_cell_length_c 4.1379
_cell_angle_alpha 90.00
_cell_angle_beta 90.00
_cell_angle_gamma 90.00
_symmetry_space_group_name_H-M 'P 4/m m m'
_symmetry_Int_Tables_number 123
_symmetry_space_group_name_Hall '-P 4 2'
loop_
_atom_site_label
_atom_site_fract_x
_atom_site_fract_y
_atom_site_fract_z
_atom_site_occupancy
Be1 0.0000 0.0000 0.0000 1
Ga1 0.0000 0.0000 0.5000 1
Os1 0.0000 0.5000 0.0000 1
Au1 0.5000 0.5000 0.5000 1
```

=====

2.
# BeGa2PbAu5

BeGa2PbAu5 after structural relaxation (PBE, Alexandria via LeMat-Bulk).

E_form ... -0.049 eV per atom
Fermi-level density of states ... 3.6 states/eV/f.u.
Electronic total energy ... -3.37 eV/atom
Spin magnetization ... 0.000 μB per cell

```
data_BeGa2PbAu5
_cell_length_a 4.5309
_cell_length_b 5.9546
_cell_length_c 13.4398
_cell_angle_alpha 90.00
_cell_angle_beta 90.00
_cell_angle_gamma 90.00
_symmetry_space_group_name_H-M 'I m m m'
_symmetry_Int_Tables_number 71
_symmetry_space_group_name_Hall '-I 2 2'
loop_
_atom_site_label
_atom_site_fract_x
_atom_site_fract_y
_atom_site_fract_z
_atom_site_occupancy
Be1 0.0000 0.0000 0.0000 1
Ga1 0.0000 0.5000 0.3013 1
Pb1 0.0000 0.0000 0.5000 1
Au1 0.0000 0.2529 0.1397 1
Au2 0.0000 0.5000 0.5000 1
```

=====

3.
# BeGaPdAu

BeGaPdAu after structural relaxation (PBE, Alexandria via LeMat-Bulk).

E_form ... -0.273 eV per atom
Fermi-level density of states ... 1.8 states/eV/f.u.
Electronic total energy ... -4.08 eV/atom
Spin magnetization ... 0.000 μB per cell

```
data_BeGaPdAu
_cell_length_a 6.0994
_cell_length_b 6.0994
_cell_length_c 6.0994
_cell_angle_alpha 90.00
_cell_angle_beta 90.00
_cell_angle_gamma 90.00
_symmetry_space_group_name_H-M 'F -4 3 m'
_symmetry_Int_Tables_number 216
_symmetry_space_group_name_Hall 'F -4 2 3'
loop_
_atom_site_label
_atom_site_fract_x
_atom_site_fract_y
_atom_site_fract_z
_atom_site_occupancy
Be1 0.0000 0.0000 0.0000 1
Ga1 0.0000 0.0000 0.5000 1
Pd1 0.2500 0.2500 0.2500 1
Au1 0.2500 0.2500 0.7500 1
```

=====

4.
# BeGa2PdAu

BeGa2PdAu after structural relaxation (PBE, Alexandria via LeMat-Bulk).

E_form ... 0.200 eV per atom
Fermi-level density of states ... 2.1 states/eV/f.u.
Electronic total energy ... -3.45 eV/atom
Spin magnetization ... 0.000 μB per cell

```
data_BeGa2PdAu
_cell_length_a 4.3330
_cell_length_b 4.3330
_cell_length_c 4.4325
_cell_angle_alpha 90.00
_cell_angle_beta 90.00
_cell_angle_gamma 90.00
_symmetry_space_group_name_H-M 'P 4/m m m'
_symmetry_Int_Tables_number 123
_symmetry_space_group_name_Hall '-P 4 2'
loop_
_atom_site_label
_atom_site_fract_x
_atom_site_fract_y
_atom_site_fract_z
_atom_site_occupancy
Be1 0.0000 0.0000 0.0000 1
Ga1 0.0000 0.5000 0.0000 1
Pd1 0.5000 0.5000 0.5000 1
Au1 0.0000 0.0000 0.5000 1
```

=====

5.
# Pm2BeGa4Au3

Pm2BeGa4Au3 after structural relaxation (PBE, Alexandria via LeMat-Bulk).

E_form ... -0.551 eV per atom
Fermi-level density of states ... 4.6 states/eV/f.u.
Electronic total energy ... -4.07 eV/atom
Spin magnetization ... 0.000 μB per cell

```
data_Pm2BeGa4Au3
_cell_length_a 4.2545
_cell_length_b 4.2545
_cell_length_c 10.9105
_cell_angle_alpha 90.00
_cell_angle_beta 90.00
_cell_angle_gamma 90.00
_symmetry_space_group_name_H-M 'P -4 m 2'
_symmetry_Int_Tables_number 115
loop_
_symmetry_equiv_pos_as_xyz
'x,y,z'
'y,-x,-z'
'-x,-y,z'
'-y,x,-z'
'-x,y,z'
'-y,-x,-z'
'x,-y,z'
'y,x,-z'
loop_
_atom_site_label
_atom_site_fract_x
_atom_site_fract_y
_atom_site_fract_z
_atom_site_occupancy
Pm1 0.0000 0.5000 0.2376 1
Be1 0.5000 0.5000 0.0000 1
Ga1 0.0000 0.0000 0.5000 1
Ga2 0.0000 0.5000 0.8729 1
Ga3 0.5000 0.5000 0.5000 1
Au1 0.0000 0.0000 0.0000 1
Au2 0.0000 0.5000 0.6410 1
```

=====

6.
# PmBeGa2Au4

PmBeGa2Au4 after structural relaxation (PBE, Alexandria via LeMat-Bulk).

E_form ... -0.398 eV per atom
Fermi-level density of states ... 1.9 states/eV/f.u.
Electronic total energy ... -3.85 eV/atom
Spin magnetization ... 0.000 μB per cell

```
data_PmBeGa2Au4
_cell_length_a 4.4448
_cell_length_b 4.4448
_cell_length_c 26.0118
_cell_angle_alpha 90.00
_cell_angle_beta 90.00
_cell_angle_gamma 120.00
_symmetry_space_group_name_H-M 'R -3 m'
_symmetry_Int_Tables_number 166
_symmetry_space_group_name_Hall '-R 3 2"'
loop_
_atom_site_label
_atom_site_fract_x
_atom_site_fract_y
_atom_site_fract_z
_atom_site_occupancy
Pm1 0.0000 0.0000 0.0000 1
Be1 0.0000 0.0000 0.5000 1
Ga1 0.0000 0.0000 0.2514 1
Au1 0.0000 0.0000 0.1414 1
Au2 0.0000 0.0000 0.4048 1
```

=====

7.
# PmBe2GaAu4

PmBe2GaAu4 after structural relaxation (PBE, Alexandria via LeMat-Bulk).

E_form ... -0.279 eV per atom
Fermi-level density of states ... 3.9 states/eV/f.u.
Electronic total energy ... -3.82 eV/atom
Spin magnetization ... 0.000 μB per cell

```
data_PmBe2GaAu4
_cell_length_a 4.1601
_cell_length_b 4.1601
_cell_length_c 28.9652
_cell_angle_alpha 90.00
_cell_angle_beta 90.00
_cell_angle_gamma 120.00
_symmetry_space_group_name_H-M 'R -3 m'
_symmetry_Int_Tables_number 166
_symmetry_space_group_name_Hall '-R 3 2"'
loop_
_atom_site_label
_atom_site_fract_x
_atom_site_fract_y
_atom_site_fract_z
_atom_site_occupancy
Pm1 0.0000 0.0000 0.0000 1
Be1 0.0000 0.0000 0.2479 1
Ga1 0.0000 0.0000 0.5000 1
Au1 0.0000 0.0000 0.1234 1
Au2 0.0000 0.0000 0.3996 1
```

=====

8.
# Pr2BeGa4Au3

Pr2BeGa4Au3 after structural relaxation (PBE, Alexandria via LeMat-Bulk).

E_form ... -0.553 eV per atom
Fermi-level density of states ... 5.8 states/eV/f.u.
Electronic total energy ... -4.08 eV/atom
Spin magnetization ... 0.000 μB per cell

```
data_Pr2BeGa4Au3
_cell_length_a 4.3526
_cell_length_b 4.3526
_cell_length_c 10.6436
_cell_angle_alpha 90.00
_cell_angle_beta 90.00
_cell_angle_gamma 90.00
_symmetry_space_group_name_H-M 'P -4 m 2'
_symmetry_Int_Tables_number 115
loop_
_symmetry_equiv_pos_as_xyz
'x,y,z'
'y,-x,-z'
'-x,-y,z'
'-y,x,-z'
'-x,y,z'
'-y,-x,-z'
'x,-y,z'
'y,x,-z'
loop_
_atom_site_label
_atom_site_fract_x
_atom_site_fract_y
_atom_site_fract_z
_atom_site_occupancy
Pr1 0.0000 0.5000 0.2400 1
Be1 0.5000 0.5000 0.0000 1
Ga1 0.0000 0.0000 0.5000 1
Ga2 0.0000 0.5000 0.8751 1
Ga3 0.5000 0.5000 0.5000 1
Au1 0.0000 0.0000 0.0000 1
Au2 0.0000 0.5000 0.6365 1
```

=====

9.
# Be2GaPtAu

Be2GaPtAu after structural relaxation (PBE, Alexandria via LeMat-Bulk).

E_form ... 0.577 eV per atom
Fermi-level density of states ... 2.0 states/eV/f.u.
Electronic total energy ... -3.38 eV/atom
Spin magnetization ... 0.000 μB per cell

```
data_Be2GaPtAu
_cell_length_a 4.2187
_cell_length_b 4.2187
_cell_length_c 5.2548
_cell_angle_alpha 90.00
_cell_angle_beta 90.00
_cell_angle_gamma 90.00
_symmetry_space_group_name_H-M 'P 4/m m m'
_symmetry_Int_Tables_number 123
_symmetry_space_group_name_Hall '-P 4 2'
loop_
_atom_site_label
_atom_site_fract_x
_atom_site_fract_y
_atom_site_fract_z
_atom_site_occupancy
Be1 0.0000 0.5000 0.0000 1
Ga1 0.0000 0.0000 0.5000 1
Pt1 0.5000 0.5000 0.5000 1
Au1 0.5000 0.5000 0.0000 1
```

=====

10.
# Pu2Be3GaAu4

Pu2Be3GaAu4 after structural relaxation (PBE, Alexandria via LeMat-Bulk).

E_form ... -0.278 eV per atom
Fermi-level density of states ... 28.6 states/eV/f.u.
Electronic total energy ... -5.88 eV/atom
Spin magnetization ... 11.103 μB per cell

```
data_Pu2Be3GaAu4
_cell_length_a 4.3003
_cell_length_b 4.3003
_cell_length_c 9.6817
_cell_angle_alpha 90.00
_cell_angle_beta 90.00
_cell_angle_gamma 90.00
_symmetry_space_group_name_H-M 'P -4 m 2'
_symmetry_Int_Tables_number 115
loop_
_symmetry_equiv_pos_as_xyz
'x,y,z'
'y,-x,-z'
'-x,-y,z'
'-y,x,-z'
'-x,y,z'
'-y,-x,-z'
'x,-y,z'
'y,x,-z'
loop_
_atom_site_label
_atom_site_fract_x
_atom_site_fract_y
_atom_site_fract_z
_atom_site_occupancy
Pu1 0.0000 0.5000 0.2500 1
Be1 0.0000 0.0000 0.0000 1
Be2 0.0000 0.5000 0.6152 1
Ga1 0.5000 0.5000 0.0000 1
Au1 0.0000 0.0000 0.5000 1
Au2 0.0000 0.5000 0.8568 1
Au3 0.5000 0.5000 0.5000 1
```

=====

11.
# Be2GaRhAu

Be2GaRhAu after structural relaxation (PBE, Alexandria via LeMat-Bulk).

E_form ... 0.661 eV per atom
Fermi-level density of states ... 4.0 states/eV/f.u.
Electronic total energy ... -3.56 eV/atom
Spin magnetization ... 0.000 μB per cell

```
data_Be2GaRhAu
_cell_length_a 4.2358
_cell_length_b 4.2358
_cell_length_c 4.7550
_cell_angle_alpha 90.00
_cell_angle_beta 90.00
_cell_angle_gamma 90.00
_symmetry_space_group_name_H-M 'P 4/m m m'
_symmetry_Int_Tables_number 123
_symmetry_space_group_name_Hall '-P 4 2'
loop_
_atom_site_label
_atom_site_fract_x
_atom_site_fract_y
_atom_site_fract_z
_atom_site_occupancy
Be1 0.0000 0.5000 0.0000 1
Ga1 0.0000 0.0000 0.5000 1
Rh1 0.5000 0.5000 0.5000 1
Au1 0.0000 0.0000 0.0000 1
```

=====

12.
# BeGaRhAu2

BeGaRhAu2 after structural relaxation (PBE, Alexandria via LeMat-Bulk).

E_form ... 0.358 eV per atom
Fermi-level density of states ... 2.9 states/eV/f.u.
Electronic total energy ... -3.77 eV/atom
Spin magnetization ... 0.000 μB per cell

```
data_BeGaRhAu2
_cell_length_a 4.3540
_cell_length_b 4.3540
_cell_length_c 4.3020
_cell_angle_alpha 90.00
_cell_angle_beta 90.00
_cell_angle_gamma 90.00
_symmetry_space_group_name_H-M 'P 4/m m m'
_symmetry_Int_Tables_number 123
_symmetry_space_group_name_Hall '-P 4 2'
loop_
_atom_site_label
_atom_site_fract_x
_atom_site_fract_y
_atom_site_fract_z
_atom_site_occupancy
Be1 0.0000 0.0000 0.0000 1
Ga1 0.0000 0.0000 0.5000 1
Rh1 0.5000 0.5000 0.5000 1
Au1 0.0000 0.5000 0.0000 1
```